Entry from Alexandria: a relaxed Ac3GaSi crystal (PBE).

Formation energy without anion corrections ... -0.387 eV/atom
Magnetization ... 0.2 μB per formula unit
Energy relative to the lowest polymorph listed for this composition ... 0.10 eV per formula unit
E ... -4.54 eV/atom
DOS(E_F) ... 8.0 states/eV per cell

Lattice parameters (Å, degrees): 4.3344 8.6757 9.1121 92.61 89.99 104.41
Last column: nearest neighbours and their distance in Å.
Positions (direct):
1 Ga 0.8098 0.6522 0.7780  2 Ga 2.76-2.77
2 Ac 0.9755 0.9843 0.0364  4 Si 3.29-3.48, 1 Ac 3.47, 1 Ga 3.57
3 Ac 0.2617 0.5556 0.0365  3 Si 3.28-3.30, 3 Ga 3.33-3.59
4 Si 0.4138 0.8618 0.2778  8 Ac 3.20-3.48
5 Ac 0.7822 0.5985 0.3851  3 Si 3.28-3.31, 3 Ga 3.33-3.59
6 Si 0.6299 0.2923 0.1437  8 Ac 3.20-3.48
7 Ga 0.2344 0.5019 0.6435  2 Ga 2.76-2.77
8 Ac 0.0683 0.1698 0.3852  4 Si 3.29-3.48, 1 Ac 3.47, 1 Ga 3.57
9 Ac 0.6198 0.2724 0.7922  1 Si 3.20, 3 Ga 3.20-3.24, 1 Ac 3.54
10 Ac 0.4244 0.8817 0.6294  3 Ga 3.20-3.24, 1 Si 3.20, 1 Ac 3.54

Entry from Alexandria: a relaxed Cs3RbPb2Cl9 crystal (PBE).

Formation energy without anion corrections ... -1.527 eV/atom
Magnetization ... 0.0 μB per formula unit
E ... -3.36 eV/atom
DOS(E_F) ... 4.1 states/eV per cell

Lattice parameters (Å, degrees): 8.1936 8.1936 9.9978 90.00 90.00 120.00
Last column: nearest neighbours and their distance in Å.
Positions (direct):
1 Cs 0.3333 0.6667 0.6542  12 Cl 4.01-4.19
2 Cl 0.5000 0.5000 0.0000  2 Pb 2.85
3 Cl 0.1784 0.3567 0.3186  1 Pb 2.72
4 Cl 0.0000 0.5000 0.0000  2 Pb 2.85
5 Pb 0.3333 0.6667 0.1591  6 Cl 2.72-2.85
6 Cl 0.1784 0.8216 0.3186  1 Pb 2.72
7 Pb 0.6667 0.3333 0.8409  6 Cl 2.72-2.85
8 Cl 0.8216 0.6433 0.6814  1 Pb 2.72
9 Cs 0.0000 0.0000 0.0000  12 Cl 4.07-4.10
10 Cl 0.8216 0.1784 0.6814  1 Pb 2.72
11 Rb 0.0000 0.0000 0.5000  6 Cl 3.11
12 Cl 0.3567 0.1784 0.6814  1 Pb 2.72
13 Cs 0.6667 0.3333 0.3458  12 Cl 4.01-4.19
14 Cl 0.5000 0.0000 0.0000  2 Pb 2.85
15 Cl 0.6433 0.8216 0.3186  1 Pb 2.72

Entry from Alexandria: a relaxed Tc2OsRu crystal (PBE).

Formation energy from the elements ... 0.433 eV/atom
Magnetization ... 0.0 μB per formula unit
Energy relative to the lowest polymorph listed for this composition ... 2.04 eV per formula unit
E ... -9.88 eV/atom
DOS(E_F) ... 5.3 states/eV per cell

Lattice parameters (Å, degrees): 5.2901 5.2901 5.2901 149.01 129.04 60.84
Last column: nearest neighbours and their distance in Å.
Positions (direct):
1 Ru 0.2500 0.7500 0.5000  4 Os 2.68, 4 Tc 2.72, 2 Ru 2.83
2 Os 0.7500 0.2500 0.5000  4 Tc 2.64, 4 Ru 2.68, 2 Os 2.83
3 Tc 0.9947 0.9947 0.0000  2 Os 2.64, 6 Tc 2.68-2.83, 2 Ru 2.72
4 Tc 0.5053 0.5053 0.0000  2 Os 2.64, 6 Tc 2.68-2.83, 2 Ru 2.72